Er2CrO5 | PBE with a Hubbard U | optimized geometry

Properties
* calculated total energy: -8.042 eV/atom
* volume: 108.6 Å³/f.u.

a b c (Å): 9.360 6.926 6.763
angles (deg): 90.00 97.77 90.00
Element x y z (fractional)
Er: 0.034 0.117 0.230
Er: 0.034 0.383 0.730
Er: 0.345 0.146 0.976
Er: 0.345 0.354 0.476
Er: 0.655 0.646 0.524
Er: 0.655 0.854 0.024
Er: 0.966 0.617 0.270
Er: 0.966 0.883 0.770
Cr: 0.300 0.607 0.980
Cr: 0.300 0.893 0.480
Cr: 0.700 0.107 0.520
Cr: 0.700 0.393 0.020
O: 0.104 0.119 0.914
O: 0.104 0.381 0.414
O: 0.105 0.642 0.960
O: 0.105 0.858 0.460
O: 0.279 0.076 0.277
O: 0.279 0.424 0.777
O: 0.361 0.074 0.657
O: 0.361 0.426 0.157
O: 0.406 0.680 0.488
O: 0.406 0.820 0.988
O: 0.594 0.180 0.012
O: 0.594 0.320 0.512
O: 0.639 0.574 0.843
O: 0.639 0.926 0.343
O: 0.721 0.576 0.223
O: 0.721 0.924 0.723
O: 0.895 0.142 0.540
O: 0.895 0.358 0.040
O: 0.896 0.619 0.586
O: 0.896 0.881 0.086